No. 1
Density functional theory data (PBE) for a geometry-optimized Ti2CuNi2 structure.

Energy of formation from the pure elements   0.0445 eV/atom
Space group   I4/mmm, No. 139
Energy above the most stable polymorph in this dataset   336.6 meV/atom
Calculated density   6.31 g/cm³
D(E_F)   4.28 states/eV/f.u.

abc: 3.3416 3.3416 6.9380
angles: 76.07 76.07 90.00
With the nearest neighbours (Å) after each atom.
Element x y z (fractional)
Ti 0.6076 0.6076 0.7847  4 Ni 2.50, 4 Cu 2.75
Ti 0.3924 0.3924 0.2153  4 Ni 2.50, 4 Cu 2.75
Ni 0.7500 0.2500 0.5000  4 Ni 2.36, 4 Ti 2.50
Ni 0.2500 0.7500 0.5000  4 Ni 2.36, 4 Ti 2.50
Cu 0.0000 0.0000 0.0000  8 Ti 2.75

No. 2
Density functional theory data (PBE) for a geometry-optimized Ti2CuNi5 structure.

Energy of formation from the pure elements   -0.3297 eV/atom
Space group   I4/mmm, No. 139
Calculated density   7.83 g/cm³
D(E_F)   8.42 states/eV/f.u.

abc: 5.2124 5.2125 5.1080
angles: 120.69 120.69 90.00
With the nearest neighbours (Å) after each atom.
Element x y z (fractional)
Cu 0.2223 0.2224 0.4447  8 Ni 2.55-2.56, 4 Ti 2.61
Ni 0.7220 0.7220 0.4441  8 Ni 2.55, 4 Ti 2.61
Ni 0.7221 0.7221 0.9442  2 Cu 2.55, 4 Ti 2.55, 6 Ni 2.55-2.61
Ni 0.7221 0.2220 0.9442  2 Cu 2.55, 4 Ti 2.55, 6 Ni 2.55-2.61
Ni 0.2220 0.2220 0.9442  2 Cu 2.55-2.56, 6 Ni 2.55-2.61, 4 Ti 2.55
Ni 0.2220 0.7221 0.9442  2 Cu 2.55, 4 Ti 2.55, 6 Ni 2.55-2.61
Ti 0.7222 0.2222 0.4443  10 Ni 2.55-2.61, 2 Cu 2.61
Ti 0.2221 0.7221 0.4443  10 Ni 2.55-2.61, 2 Cu 2.61

No. 3
Density functional theory data (PBE) for a geometry-optimized Ti8CuNi2 structure.

Energy of formation from the pure elements   0.0000 eV/atom
Space group   C2/m, No. 12
Calculated density   5.32 g/cm³
D(E_F)   16.93 states/eV/f.u.

abc: 4.4160 6.9939 6.9939
angles: 118.77 100.84 100.84
With the nearest neighbours (Å) after each atom.
Element x y z (fractional)
Ti 0.6943 0.3948 0.3948  4 Ti 2.56-2.82, 1 Cu 2.62, 2 Ni 2.69
Ti 0.9022 0.9030 0.6757  2 Ni 2.47-2.68, 1 Ti 2.74
Ti 0.3057 0.6052 0.6052  4 Ti 2.56-2.82, 1 Cu 2.62, 2 Ni 2.69
Ti 0.5000 0.7781 0.2219  2 Ni 2.42, 1 Cu 2.67
Ti 0.5000 0.2219 0.7781  2 Ni 2.42, 1 Cu 2.67
Ti 0.0978 0.3243 0.0970  2 Ni 2.47-2.68, 1 Ti 2.74
Ti 0.0978 0.0970 0.3243  2 Ni 2.47-2.68, 1 Ti 2.74
Ti 0.9022 0.6757 0.9030  2 Ni 2.47-2.68, 1 Ti 2.74
Ni 0.0000 0.6965 0.3035  8 Ti 2.42-2.69
Ni 0.0000 0.3035 0.6965  8 Ti 2.42-2.69
Cu 0.5000 0.0000 0.0000  8 Ti 2.62-2.86